No. 1
## KScP2S (PBE)

Data for a relaxed KScP2S crystal.

Summary:
Crystal system: tetragonal
DFT total energy, Ry/atom: -0.35177
Magnetization, μB/f.u.: 0.81
Mass density, g cm⁻³: 2.29
Distance to the lowest polymorph of the same formula, eV/atom: 0.0000
SG: No. 123

Unit cell a=5.050 b=5.050 c=5.057 alpha=90.00 beta=90.00 gamma=90.00
Each line ends with the local moment (μB).
Fractional coordinates of all 5 atoms:
S1 0.000 0.000 0.500  0.12
P1 0.000 0.500 0.000  0.14
P2 0.500 0.000 0.000  0.14
K1 0.500 0.500 0.500  0.00
Sc1 0.000 0.000 0.000  -0.01

---

No. 2
## Ti2CoIr (PBE)

Data for a relaxed Ti2CoIr crystal.

Summary:
Crystal system: tetragonal
DFT total energy, Ry/atom: -0.62834
Magnetization, μB/f.u.: 0.51
Mass density, g cm⁻³: 10.11
Distance to the lowest polymorph of the same formula, eV/atom: 0.0111
SG: No. 123

Unit cell a=3.314 b=4.147 c=4.147 alpha=90.00 beta=90.00 gamma=90.00
Each line ends with the local moment (μB).
Fractional coordinates of all 4 atoms:
Ti1 0.000 0.500 0.000  -0.02
Ti2 0.000 0.000 0.500  -0.02
Co1 0.500 0.500 0.500  0.59
Ir1 0.500 0.000 0.000  -0.01

---

No. 3
## CaZnOs (PBE)

Data for a relaxed CaZnOs crystal.

Summary:
Crystal system: cubic
DFT total energy, Ry/atom: -0.30482
Magnetization, μB/f.u.: 0.00
Mass density, g cm⁻³: 7.93
SG: No. 216

Unit cell a=4.441 b=4.441 c=4.441 alpha=60.00 beta=60.00 gamma=60.00
Fractional coordinates of all 3 atoms:
Ca1 0.000 0.000 0.000
Zn1 0.250 0.250 0.250
Os1 0.500 0.500 0.500

---

No. 4
## InGeCl3 (PBE)

Data for a relaxed InGeCl3 crystal.

Summary:
Crystal system: trigonal
DFT total energy, Ry/atom: -0.23516
Magnetization, μB/f.u.: 0.00
Mass density, g cm⁻³: 2.63
SG: No. 167

Unit cell a=8.351 b=8.351 c=8.351 alpha=55.72 beta=55.72 gamma=55.72
Fractional coordinates of all 10 atoms:
Cl1 0.069 0.431 0.750
Cl2 0.431 0.750 0.069
Cl3 0.931 0.569 0.250
Cl4 0.750 0.069 0.431
Cl5 0.569 0.250 0.931
Cl6 0.250 0.931 0.569
In1 0.500 0.500 0.500
In2 0.000 0.000 0.000
Ge1 0.750 0.750 0.750
Ge2 0.250 0.250 0.250

---

No. 5
## LaNp4Rh3S12 (PBE)

Data for a relaxed LaNp4Rh3S12 crystal.

Summary:
Crystal system: cubic
DFT total energy, Ry/atom: -0.54280
Magnetization, μB/f.u.: 10.00
Mass density, g cm⁻³: 6.67
SG: No. 204

Unit cell a=8.319 b=8.319 c=8.319 alpha=109.47 beta=109.47 gamma=109.47
Each line ends with the local moment (μB).
Fractional coordinates of all 20 atoms:
S1 0.461 0.307 0.153  -0.11
S2 0.307 0.847 0.154  -0.11
S3 0.847 0.154 0.307  -0.11
S4 0.307 0.153 0.461  -0.11
S5 0.153 0.846 0.693  -0.11
S6 0.153 0.461 0.307  -0.11
S7 0.693 0.847 0.539  -0.11
S8 0.154 0.307 0.847  -0.11
S9 0.846 0.693 0.153  -0.11
S10 0.847 0.539 0.693  -0.11
S11 0.539 0.693 0.847  -0.11
S12 0.693 0.153 0.846  -0.11
Rh1 0.500 0.000 0.500  -0.38
Rh2 0.000 0.500 0.500  -0.38
Rh3 0.500 0.500 0.000  -0.38
Np1 0.000 0.000 0.500  3.09
Np2 0.000 0.500 0.000  3.09
Np3 0.500 0.500 0.500  3.09
Np4 0.500 0.000 0.000  3.09
La1 0.000 0.000 0.000  0.01

---

No. 6
## Na4Sc3CuTe8 (PBE)

Data for a relaxed Na4Sc3CuTe8 crystal.

Summary:
Crystal system: monoclinic
DFT total energy, Ry/atom: -0.31394
Magnetization, μB/f.u.: 0.00
Mass density, g cm⁻³: 4.69
SG: No. 12

Unit cell a=8.288 b=8.939 c=8.455 alpha=117.29 beta=119.35 gamma=90.00
Fractional coordinates of all 16 atoms:
Na1 0.500 0.000 0.000
Na2 0.000 0.000 0.000
Na3 0.500 0.000 0.500
Na4 0.000 0.000 0.500
Te1 0.757 0.699 0.973
Te2 0.243 0.301 0.027
Te3 0.263 0.279 0.526
Te4 0.738 0.263 0.476
Te5 0.737 0.721 0.474
Te6 0.784 0.301 0.027
Te7 0.262 0.737 0.524
Te8 0.216 0.699 0.973
Cu1 0.000 0.500 0.000
Sc1 0.500 0.500 0.500
Sc2 0.500 0.500 0.000
Sc3 0.000 0.500 0.500

---

No. 7
## BaIn2HgAu2 (PBE)

Data for a relaxed BaIn2HgAu2 crystal.

Summary:
Crystal system: trigonal
DFT total energy, Ry/atom: -0.20278
Magnetization, μB/f.u.: 0.00
Mass density, g cm⁻³: 9.89
SG: No. 164

Unit cell a=4.962 b=4.962 c=7.568 alpha=90.00 beta=90.00 gamma=120.00
Fractional coordinates of all 6 atoms:
In1 0.667 0.333 0.688
In2 0.333 0.667 0.312
Au1 0.667 0.333 0.278
Au2 0.333 0.667 0.722
Ba1 0.000 0.000 0.000
Hg1 0.000 0.000 0.500

---

No. 8
## CuBiBrO2 (PBE)

Data for a relaxed CuBiBrO2 crystal.

Summary:
Crystal system: monoclinic
DFT total energy, Ry/atom: -0.34918
Magnetization, μB/f.u.: 0.00
Mass density, g cm⁻³: 6.18
SG: No. 11

Unit cell a=4.019 b=7.252 c=7.504 alpha=109.25 beta=90.00 gamma=90.00
Fractional coordinates of all 10 atoms:
Br1 0.250 0.030 0.765
Br2 0.750 0.970 0.235
O1 0.250 0.505 0.629
O2 0.750 0.495 0.371
O3 0.750 0.521 0.881
O4 0.250 0.479 0.119
Cu1 0.250 0.529 0.384
Cu2 0.750 0.471 0.616
Bi1 0.750 0.303 0.050
Bi2 0.250 0.697 0.950